1.
The following is a DFT calculation (GGA-PBE) of a relaxed Pu2GaGe3Pd4 crystal.

For the size of the total moment, the calculation gives 11.03 μB per formula unit. Its space-group type is No. 115. For the formation energy, the calculation gives -598 meV/atom. The total energy is -7.23 eV/atom.

Lattice parameters (Å, degrees): 4.2526 4.2526 10.4782 90.00 90.00 90.00
Sites, in units of the cell vectors:
Pu 0.0000 0.5000 0.2488
Pu 0.5000 0.0000 0.7512
Ga 0.5000 0.5000 0.0000
Ge 0.0000 0.0000 0.0000
Ge 0.0000 0.5000 0.6334
Ge 0.5000 0.0000 0.3666
Pd 0.0000 0.0000 0.5000
Pd 0.0000 0.5000 0.8674
Pd 0.5000 0.0000 0.1326
Pd 0.5000 0.5000 0.5000

2.
The following is a DFT calculation (GGA-PBE) of a relaxed AcLa2Co crystal.

For the size of the total moment, the calculation gives 0.00 μB per formula unit. Its space-group type is No. 160. For the formation energy, the calculation gives -50 meV/atom. The total energy is -5.32 eV/atom. The energy above the most stable polymorph in this dataset comes out at 0.038 eV/atom.

Lattice parameters (Å, degrees): 9.9126 9.9126 9.9126 23.47 23.47 23.47
Sites, in units of the cell vectors:
Ac 0.0000 0.0000 0.0000
La 0.5515 0.5515 0.5515
La 0.7799 0.7799 0.7799
Co 0.1649 0.1649 0.1649